DFT (PBE+U) results for WSeO2 after structural relaxation.

Summary:
As for the density of states at the Fermi level: 0.570 states/eV/atom. Its total energy is -5.13 eV per atom.

Cell lengths 2.9566, 2.9566, 22.7212 Å; angles 90.00, 90.00, 120.00 degrees
Space group R-3m (No. 166, hexagonal axes)
One atom of each set of equivalent atoms:
W (0.0000, 0.0000, 0.0000) x3
Se (0.0000, 0.0000, 0.5000) x3
O (0.0000, 0.0000, 0.0819) x6